(w)
Sm4DySc3: optimized geometry, PBE-GGA.

It has space group Pmn2_1 (No. 31), with a = 11.263 Å, b = 6.044 Å, c = 6.999 Å, α = 90.00°, β = 90.00° and γ = 90.00°. Symmetry generates all atoms from Sm at (0.000, 0.163, 0.000), Sm at (0.000, 0.675, 0.252), Sm at (0.249, 0.499, 0.501), Dy at (0.000, 0.163, 0.505), Sc at (0.000, 0.667, 0.750) and Sc at (0.247, 0.996, 0.752).

The total magnetization comes out at 0.00 Bohr magnetons per cell. The calculated density is 6.27 g/cm3.

(x)
Sm4DySc3: optimized geometry, PBE-GGA.

It has space group C2/m (No. 12), with a = 15.615 Å, b = 5.647 Å, c = 5.856 Å, α = 90.00°, β = 111.47° and γ = 90.00°. Symmetry generates all atoms from Sm at (0.129, 0.000, 0.079), Sm at (0.248, 0.500, 0.304), Dy at (0.000, 0.000, 0.500), Sc at (0.000, 0.500, 0.000) and Sc at (0.124, 0.500, 0.670).

The total magnetization comes out at 0.00 Bohr magnetons per cell. The calculated density is 6.21 g/cm3.

Stability ranking, top entry: (w); the second entry is 89 meV per atom less favorable.

(w)
Sm4DySc: optimized geometry, PBE-GGA.

It has space group C2/m (No. 12), with a = 11.117 Å, b = 5.853 Å, c = 5.860 Å, α = 90.00°, β = 90.06° and γ = 90.00°. Symmetry generates all atoms from Sm at (0.158, 0.000, 0.001), Sm at (0.160, 0.500, 0.500), Dy at (0.000, 0.500, 0.000) and Sc at (0.000, 0.000, 0.500).

The total magnetization comes out at 0.00 Bohr magnetons per cell. The calculated density is 7.04 g/cm3.

(x)
Sm4DySc: optimized geometry, PBE-GGA.

It has space group C2/m (No. 12), with a = 6.160 Å, b = 10.628 Å, c = 6.158 Å, α = 90.00°, β = 109.39° and γ = 90.00°. Symmetry generates all atoms from Sm at (0.000, 0.164, 0.000), Sm at (0.000, 0.333, 0.500), Dy at (0.000, 0.500, 0.000) and Sc at (0.000, 0.000, 0.500).

The total magnetization comes out at 0.00 Bohr magnetons per cell. The calculated density is 7.07 g/cm3.

Stability ranking, top entry: (x); the second entry is 82 meV per atom less favorable.

(w)
SmDy2Sc7: optimized geometry, PBE-GGA.

It has space group Cmmm (No. 65), with a = 6.046 Å, b = 27.231 Å, c = 3.328 Å, α = 90.00°, β = 90.00° and γ = 90.00°. Symmetry generates all atoms from Sm at (0.000, 0.000, 0.000), Dy at (0.000, 0.289, 0.500), Sc at (0.000, 0.182, 0.000), Sc at (0.000, 0.500, 0.500) and Sc at (0.248, 0.100, 0.500).

The total magnetization comes out at 0.00 Bohr magnetons per cell. The calculated density is 4.79 g/cm3.

(x)
SmDy2Sc7: optimized geometry, PBE-GGA.

It has space group C2/m (No. 12), with a = 17.114 Å, b = 4.751 Å, c = 6.699 Å, α = 90.00°, β = 101.92° and γ = 90.00°. Symmetry generates all atoms from Sm at (0.000, 0.000, 0.000), Dy at (0.198, 0.000, 0.602), Sc at (0.000, 0.000, 0.500), Sc at (0.099, 0.500, 0.302), Sc at (0.101, 0.500, 0.801) and Sc at (0.200, 0.000, 0.099).

The total magnetization comes out at 0.00 Bohr magnetons per cell. The calculated density is 4.92 g/cm3.

Stability ranking, top entry: (x); the second entry is 101 meV per atom less favorable.

(w)
Sm5DySc4: optimized geometry, PBE-GGA.

It has space group I4 (No. 79), with a = 9.896 Å, b = 9.896 Å, c = 6.198 Å, α = 90.00°, β = 90.00° and γ = 90.00°. Symmetry generates all atoms from Sm at (0.000, 0.000, 0.000), Sm at (0.148, 0.248, 0.730), Dy at (0.000, 0.000, 0.459) and Sc at (0.057, 0.358, 0.231).

The total magnetization comes out at 0.00 Bohr magnetons per cell. The calculated density is 5.99 g/cm3.

(x)
Sm5DySc4: optimized geometry, PBE-GGA.

It has space group P4/mmm (No. 123), with a = 3.547 Å, b = 3.547 Å, c = 23.468 Å, α = 90.00°, β = 90.00° and γ = 90.00°. Symmetry generates all atoms from Sm at (0.000, 0.000, 0.000), Sm at (0.000, 0.000, 0.195), Sm at (0.000, 0.000, 0.392), Dy at (0.500, 0.500, 0.500), Sc at (0.500, 0.500, 0.098) and Sc at (0.500, 0.500, 0.293).

The total magnetization comes out at 0.00 Bohr magnetons per cell. The calculated density is 6.15 g/cm3.

Stability ranking, top entry: (x); the second entry is 288 meV per atom less favorable.

(w)
SmDy5Sc2: optimized geometry, PBE-GGA.

It has space group I4/mcm (No. 140), with a = 8.812 Å, b = 8.812 Å, c = 12.449 Å, α = 90.00°, β = 90.00° and γ = 90.00°. Symmetry generates all atoms from Sm at (0.000, 0.000, 0.250), Dy at (0.000, 0.000, 0.000), Dy at (0.150, 0.350, 0.158) and Sc at (0.143, 0.357, 0.500).

The total magnetization comes out at 0.77 Bohr magnetons per cell. The calculated density is 7.23 g/cm3.

(x)
SmDy5Sc2: optimized geometry, PBE-GGA.

It has space group Pbam (No. 55), with a = 11.266 Å, b = 12.093 Å, c = 7.016 Å, α = 90.00°, β = 90.00° and γ = 90.00°. Symmetry generates all atoms from Sm at (0.247, 0.080, 0.000), Dy at (0.000, 0.500, 0.254), Dy at (0.001, 0.246, 0.500), Dy at (0.001, 0.247, 0.000), Dy at (0.249, 0.833, 0.254), Sc at (0.000, 0.000, 0.256) and Sc at (0.246, 0.083, 0.500).

The total magnetization comes out at 0.00 Bohr magnetons per cell. The calculated density is 7.32 g/cm3.

Stability ranking, top entry: (x); the second entry is 88 meV per atom less favorable.

(w)
SmDy3Sc6: optimized geometry, PBE-GGA.

It has space group Cmc2_1 (No. 36), with a = 10.485 Å, b = 17.928 Å, c = 5.875 Å, α = 90.00°, β = 90.00° and γ = 90.00°. Symmetry generates all atoms from Sm at (0.000, 0.214, 0.000), Dy at (0.000, 0.399, 0.888), Dy at (0.178, 0.104, 0.293), Sc at (0.000, 0.050, 0.756), Sc at (0.000, 0.296, 0.456), Sc at (0.171, 0.446, 0.336) and Sc at (0.235, 0.216, 0.685).

The total magnetization comes out at 0.01 Bohr magnetons per cell. The calculated density is 5.46 g/cm3.

(x)
SmDy3Sc6: optimized geometry, PBE-GGA.

It has space group R3 (No. 146, hexagonal axes), with a = 9.2820 Å, b = 9.2820 Å, c = 11.2548 Å, α = 90.00°, β = 90.00° and γ = 120.00°. Symmetry generates all atoms from Sm at (0.0000, 0.0000, 0.0000), Dy at (0.0000, 0.0000, 0.2513), Dy at (0.0000, 0.0000, 0.5001), Dy at (0.0000, 0.0000, 0.7493), Sc at (0.9997, 0.3317, 0.9988) and Sc at (0.9998, 0.6699, 0.4989).

The total magnetization comes out at 0.01 Bohr magnetons per cell. The calculated density is 5.38 g/cm3.

Stability ranking, top entry: (w); the second entry is 248 meV per atom less favorable.

(w)
Sm6Dy3Sc2: optimized geometry, PBE-GGA.

It has space group C2/m (No. 12), with a = 6.154 Å, b = 10.664 Å, c = 11.264 Å, α = 90.00°, β = 100.54° and γ = 90.00°. Symmetry generates all atoms from Sm at (0.246, 0.166, 0.237), Sm at (0.247, 0.500, 0.237), Dy at (0.000, 0.166, 0.500), Dy at (0.000, 0.500, 0.500) and Sc at (0.000, 0.333, 0.000).

The total magnetization comes out at 0.00 Bohr magnetons per cell. The calculated density is 6.76 g/cm3.

(x)
Sm6Dy3Sc2: optimized geometry, PBE-GGA.

It has space group I4/mmm (No. 139), with a = 4.745 Å, b = 4.745 Å, c = 32.241 Å, α = 90.00°, β = 90.00° and γ = 90.00°. Symmetry generates all atoms from Sm at (0.000, 0.000, 0.197), Sm at (0.000, 0.500, 0.115), Dy at (0.000, 0.000, 0.303), Dy at (0.000, 0.000, 0.500) and Sc at (0.000, 0.000, 0.043).

The total magnetization comes out at 0.00 Bohr magnetons per cell. The calculated density is 6.77 g/cm3.

Stability ranking, top entry: (w); the second entry is 109 meV per atom less favorable.

(w)
Sm7Dy4Sc: optimized geometry, PBE-GGA.

It has space group P-1 (No. 2), with a = 6.238 Å, b = 7.199 Å, c = 8.878 Å, α = 89.97°, β = 76.44° and γ = 89.97°. Symmetry generates all atoms from Sm at (0.000, 0.000, 0.000), Sm at (0.219, 0.500, 0.332), Sm at (0.277, 0.748, 0.669), Sm at (0.499, 0.250, 0.000), Dy at (0.223, 0.000, 0.335), Dy at (0.276, 0.251, 0.670) and Sc at (0.000, 0.500, 0.000).

The total magnetization comes out at 0.00 Bohr magnetons per cell. The calculated density is 7.49 g/cm3.

(x)
Sm7Dy4Sc: optimized geometry, PBE-GGA.

It has space group C2/m (No. 12), with a = 11.948 Å, b = 5.915 Å, c = 12.764 Å, α = 90.00°, β = 117.60° and γ = 90.00°. Symmetry generates all atoms from Sm at (0.000, 0.000, 0.000), Sm at (0.135, 0.500, 0.503), Sm at (0.217, 0.000, 0.924), Sm at (0.236, 0.500, 0.305), Dy at (0.053, 0.000, 0.328), Dy at (0.131, 0.500, 0.776) and Sc at (0.000, 0.500, 0.000).

The total magnetization comes out at 0.03 Bohr magnetons per cell. The calculated density is 7.26 g/cm3.

Stability ranking, top entry: (w); the second entry is 250 meV per atom less favorable.

(w)
SmDy12Sc7: optimized geometry, PBE-GGA.

It has space group R-3m (No. 166, hexagonal axes), with a = 16.1295 Å, b = 16.1295 Å, c = 7.9748 Å, α = 90.00°, β = 90.00° and γ = 120.00°. Symmetry generates all atoms from Sm at (0.0000, 0.0000, 0.0000), Dy at (0.0000, 0.2831, 0.0000), Dy at (0.1104, 0.2207, 0.3090), Sc at (0.0000, 0.0000, 0.5000) and Sc at (0.1095, 0.5548, 0.3939).

The total magnetization comes out at 0.00 Bohr magnetons per cell. The calculated density is 6.70 g/cm3.

(x)
SmDy12Sc7: optimized geometry, PBE-GGA.

It has space group Im-3 (No. 204), with a = 10.967 Å, b = 10.967 Å, c = 10.967 Å, α = 90.00°, β = 90.00° and γ = 90.00°. Symmetry generates all atoms from Sm at (0.000, 0.000, 0.000), Dy at (0.000, 0.263, 0.264), Sc at (0.000, 0.000, 0.500) and Sc at (0.250, 0.250, 0.250).

The total magnetization comes out at 0.01 Bohr magnetons per cell. The calculated density is 6.08 g/cm3.

Stability ranking, top entry: (w); the second entry is 411 meV per atom less favorable.